Here is an optimized crystal structure of MnHgSbI2 from the Alexandria database. Energies are from PBEsol. Values from VASP.

Quantum ESPRESSO input file:
```
&SYSTEM
  ibrav = 0, nat = 5, ntyp = 4
/
ATOMIC_SPECIES
Mn 54.94 Mn.upf
I 126.90 I.upf
Sb 121.76 Sb.upf
Hg 200.59 Hg.upf
ATOMIC_POSITIONS crystal
Mn 0.500 0.500 0.500
I 0.000 0.500 0.000
Sb 0.500 0.000 0.000
I 0.000 0.000 0.500
Hg 0.000 0.000 0.000
CELL_PARAMETERS angstrom
-2.164 -3.085 4.131
1.414 -4.783 -2.832
5.096 -0.051 2.632
```

Calculated values
* raw formation energy: 0.85 eV per atom
* density of states at the Fermi level: 2.61 states/eV/cell
* space-group type: No. 123
* magnetization: 4.268 μB per formula unit
* final energy: -2.831 eV/atom